No. 1
Below is Na2BCl5 after structural relaxation, with properties calculated at the PBE level.

Geometry as CIF:
```
data_Na2BCl5
_chemical_formula_sum 'Na4 B2 Cl10'
_cell_length_a 7.5629
_cell_length_b 7.4923
_cell_length_c 8.9392
_cell_angle_alpha 90.00
_cell_angle_beta 94.12
_cell_angle_gamma 90.00
_space_group_name_H-M_alt 'C 1 m 1'
_space_group_IT_number 8
_space_group_name_Hall 'C -2y'
loop_
_atom_site_label
_atom_site_type_symbol
_atom_site_fract_x
_atom_site_fract_y
_atom_site_fract_z
Na1 Na 0.0000 0.2482 0.0000
B1 B 0.4949 0.5000 0.5231
Cl1 Cl 0.0605 0.2016 0.6073
Cl2 Cl 0.2422 0.5000 0.9303
Cl3 Cl 0.2580 0.0000 0.0723
Cl4 Cl 0.3644 0.5000 0.3540
```

Summary:
As for the density: 1.54 g cm⁻³. The value obtained for the magnetic moment is 0.0 μB per cell. The density of states at the Fermi level comes out at 0.00 states/eV/f.u. The offset from the most stable computed form is 0 meV/atom. The formation energy without anion corrections is -1323.9 meV/atom.

***

No. 2
Below is NaBCl3 after structural relaxation, with properties calculated at the PBE level.

Geometry as CIF:
```
data_NaBCl3
_chemical_formula_sum 'Na1 B1 Cl3'
_cell_length_a 5.1820
_cell_length_b 5.1820
_cell_length_c 5.1820
_cell_angle_alpha 90.00
_cell_angle_beta 90.00
_cell_angle_gamma 90.00
_space_group_name_H-M_alt 'P m -3 m'
_space_group_IT_number 221
_space_group_name_Hall '-P 4 2 3'
loop_
_atom_site_label
_atom_site_type_symbol
_atom_site_fract_x
_atom_site_fract_y
_atom_site_fract_z
Na1 Na 0.0000 0.0000 0.0000
B1 B 0.5000 0.5000 0.5000
Cl1 Cl 0.0000 0.0000 0.5000
```

Summary:
As for the density: 1.67 g cm⁻³. The value obtained for the magnetic moment is 1.0 μB per cell. The density of states at the Fermi level comes out at 6.24 states/eV/f.u. The offset from the most stable computed form is 1681 meV/atom. The formation energy without anion corrections is 490.9 meV/atom.

***

No. 3
Below is NaBCl3 after structural relaxation, with properties calculated at the PBE level.

Geometry as CIF:
```
data_NaBCl3
_chemical_formula_sum 'Na4 B4 Cl12'
_cell_length_a 6.5425
_cell_length_b 7.1626
_cell_length_c 11.3607
_cell_angle_alpha 90.00
_cell_angle_beta 123.14
_cell_angle_gamma 90.00
_space_group_name_H-M_alt 'P 1 21/c 1'
_space_group_IT_number 14
_space_group_name_Hall '-P 2ybc'
loop_
_atom_site_label
_atom_site_type_symbol
_atom_site_fract_x
_atom_site_fract_y
_atom_site_fract_z
Na1 Na 0.2210 0.1114 0.2590
B1 B 0.1030 0.5860 0.0503
Cl1 Cl 0.0585 0.2116 0.9238
Cl2 Cl 0.2570 0.6867 0.9636
Cl3 Cl 0.3504 0.0026 0.7306
```

Summary:
As for the density: 2.09 g cm⁻³. The value obtained for the magnetic moment is 0.0 μB per cell. The density of states at the Fermi level comes out at 0.00 states/eV/f.u. The offset from the most stable computed form is 0 meV/atom. The formation energy without anion corrections is -1190.4 meV/atom.

***

No. 4
Below is NaB2Cl after structural relaxation, with properties calculated at the PBE level.

Geometry as CIF:
```
data_NaB2Cl
_chemical_formula_sum 'Na4 B8 Cl4'
_cell_length_a 7.7502
_cell_length_b 7.7502
_cell_length_c 4.6147
_cell_angle_alpha 90.00
_cell_angle_beta 90.00
_cell_angle_gamma 90.00
_space_group_name_H-M_alt 'I -4 2 d'
_space_group_IT_number 122
_space_group_name_Hall 'I -4 2bw'
loop_
_atom_site_label
_atom_site_type_symbol
_atom_site_fract_x
_atom_site_fract_y
_atom_site_fract_z
Na1 Na 0.0000 0.0000 0.0000
B1 B 0.2371 0.7500 0.6250
Cl1 Cl 0.0000 0.0000 0.5000
```

Summary:
As for the density: 1.92 g cm⁻³. The value obtained for the magnetic moment is 0.0 μB per cell. The density of states at the Fermi level comes out at 2.55 states/eV/f.u. The offset from the most stable computed form is 0 meV/atom. The formation energy without anion corrections is 1423.6 meV/atom.

***

E / eV per atom: -3.64, -2.22, -3.90, -2.71